A plane-wave DFT calculation with PBE was carried out for a relaxed structure of HgBH.

## Properties
Its energy is -18.741 eV per cell. The total moment is 0.000 μB/atom. As for the density of states at the Fermi level: 1.3 states/eV per cell. The calculation puts the calculated volume at 14.13 Å³/atom.

```
6
Lattice="-1.4986 -2.3759 -0.5018 1.5251 -1.9696 -1.4522 8.2420 0.7952 10.1662" Properties=species:S:1:pos:R:3 pbc="T T T"
B 0.1322 -3.3928 -1.1651
B 8.1362 -0.1575 9.3773
H 6.2389 -2.0560 7.8081
H 2.0295 -1.4943 0.4041
Hg 2.7939 -2.3288 2.4015
Hg 5.4746 -1.2216 5.8106
```